DFT (PBE) results for a relaxed structure of NdGa3Rh3.

a = 6.7092 Å, b = 6.7092 Å, c = 6.7092 Å
α = 90.00°, β = 90.00°, γ = 90.00°
Sites, in units of the cell vectors:
Ga  0.2500  0.0000  0.5000
Ga  0.5000  0.2500  0.0000
Ga  0.5000  0.7500  0.0000
Ga  0.0000  0.5000  0.7500
Ga  0.7500  0.0000  0.5000
Ga  0.0000  0.5000  0.2500
Nd  0.0000  0.0000  0.0000
Nd  0.5000  0.5000  0.5000
Rh  0.7500  0.5000  0.0000
Rh  0.5000  0.0000  0.2500
Rh  0.2500  0.5000  0.0000
Rh  0.0000  0.2500  0.5000
Rh  0.5000  0.0000  0.7500
Rh  0.0000  0.7500  0.5000

Properties
* E_form: -0.264 eV/atom
* density of states at the Fermi level: 8.9 states/eV per cell
* theoretical density: 7.281 g cm⁻³